--- a ---
A plane-wave DFT calculation with PBE was carried out for crystalline Na4Ac3Pb4 at its relaxed geometry.

Cell lengths 5.1917, 6.9635, 11.1770 Å; angles 90.00, 90.00, 111.89 degrees
Closest atoms and distances in Å follow each position.
Fractional positions:
Na1 0.6903 0.3805 0.5000  3 Pb 3.23-3.28, 4 Na 3.44
Na2 0.5342 0.0684 0.0000  4 Pb 3.06-3.41
Na3 0.1202 0.2405 0.6851  3 Pb 3.11-3.16, 2 Na 3.44
Na4 0.1202 0.2405 0.3149  3 Pb 3.11-3.16, 2 Na 3.44
Ac1 0.4116 0.8233 0.2930  4 Pb 3.50-3.65, 4 Na 3.64-3.77
Ac2 0.4116 0.8233 0.7070  4 Pb 3.50-3.65, 4 Na 3.64-3.77
Ac3 0.2090 0.4181 0.0000  4 Na 3.44-3.70, 6 Pb 3.50-3.66
Pb1 0.7261 0.4523 0.7905  4 Na 3.16-3.41, 1 Pb 3.33, 2 Ac 3.50
Pb2 0.7261 0.4523 0.2095  4 Na 3.16-3.41, 1 Pb 3.33, 2 Ac 3.50
Pb3 0.9401 0.8802 0.5000  3 Na 3.11-3.23
Pb4 0.9089 0.8177 0.0000  2 Na 3.06, 2 Pb 3.33



--- b ---
A plane-wave DFT calculation with PBE was carried out for crystalline Na4Ac3Pb4 at its relaxed geometry.

Cell lengths 5.1790, 8.0918, 9.8044 Å; angles 114.37, 105.31, 90.00 degrees
Closest atoms and distances in Å follow each position.
Fractional positions:
Na1 0.3266 0.1333 0.6532  4 Pb 3.10-3.14, 1 Na 3.13
Na2 0.6734 0.4802 0.3468  4 Pb 3.10-3.14, 1 Na 3.13
Na3 0.6734 0.8667 0.3468  4 Pb 3.10-3.14, 1 Na 3.13
Na4 0.3266 0.5198 0.6532  4 Pb 3.10-3.14, 1 Na 3.13
Ac1 0.1227 0.1227 0.2454  6 Pb 3.69-3.81, 6 Na 3.69-3.82
Ac2 0.8773 0.8773 0.7546  6 Pb 3.69-3.81, 6 Na 3.69-3.82
Ac3 0.0000 0.5000 0.0000  6 Pb 3.58-3.66
Pb1 0.2141 0.7141 0.4281  6 Na 3.10-3.14
Pb2 0.7859 0.2859 0.5719  6 Na 3.10-3.14
Pb3 0.5000 0.8053 0.0000  2 Na 3.10, 1 Pb 3.15
Pb4 0.5000 0.1947 0.0000  2 Na 3.10, 1 Pb 3.15



Most stable structure among those shown: b.